Record 1
Computed, not measured: an optimized crystal structure of NiAs2AuBr at the PBE-GGA level of DFT.

Unit cell a=4.6181 b=4.6181 c=4.9844 alpha=90.00 beta=90.00 gamma=90.00
Space group P4/mmm (No. 123)
One atom of each set of equivalent atoms:
Ni1 0.0000 0.0000 0.0000 [1 per cell]
As1 0.0000 0.5000 0.0000 [2 per cell]
Au1 0.5000 0.5000 0.5000 [1 per cell]
Br1 0.0000 0.0000 0.5000 [1 per cell]

Output
Total energy   -3.496 eV/atom
Total magnetic moment   0.00 μB/f.u.

=====

Record 2
Computed, not measured: an optimized crystal structure of As2AuBrO at the PBE-GGA level of DFT.

Unit cell a=4.1052 b=4.1052 c=6.5794 alpha=90.00 beta=90.00 gamma=90.00
Space group P4/mmm (No. 123)
One atom of each set of equivalent atoms:
As1 0.0000 0.5000 0.0000 [2 per cell]
Au1 0.0000 0.0000 0.5000 [1 per cell]
Br1 0.5000 0.5000 0.5000 [1 per cell]
O1 0.5000 0.5000 0.0000 [1 per cell]

Output
Total energy   -3.453 eV/atom
Total magnetic moment   0.00 μB/f.u.

=====

Record 3
Computed, not measured: an optimized crystal structure of As2AuBrO at the PBE-GGA level of DFT.

Unit cell a=5.0453 b=5.0453 c=5.3211 alpha=90.00 beta=90.00 gamma=90.00
Space group P4/mmm (No. 123)
One atom of each set of equivalent atoms:
As1 0.0000 0.5000 0.0000 [2 per cell]
Au1 0.0000 0.0000 0.0000 [1 per cell]
Br1 0.0000 0.0000 0.5000 [1 per cell]
O1 0.5000 0.5000 0.5000 [1 per cell]

Output
Total energy   -2.708 eV/atom
Total magnetic moment   0.81 μB/f.u.

=====

Record 4
Computed, not measured: an optimized crystal structure of AsAuBr2O at the PBE-GGA level of DFT.

Unit cell a=5.8209 b=5.8209 c=3.6501 alpha=90.00 beta=90.00 gamma=90.00
Space group P4/mmm (No. 123)
One atom of each set of equivalent atoms:
As1 0.0000 0.0000 0.0000 [1 per cell]
Au1 0.5000 0.5000 0.0000 [1 per cell]
Br1 0.0000 0.5000 0.5000 [2 per cell]
O1 0.0000 0.0000 0.5000 [1 per cell]

Output
Total energy   -2.774 eV/atom
Total magnetic moment   0.00 μB/f.u.

=====

Number 1: formation energy (no corrections) 0.5105 eV per atom, Fermi-level density of states 0.82 states/eV/atom. Number 2: formation energy (no corrections) 0.3890 eV per atom, Fermi-level density of states 1.07 states/eV/atom. Number 3: formation energy (no corrections) 1.1330 eV per atom, Fermi-level density of states 1.40 states/eV/atom. Number 4: formation energy (no corrections) 0.4722 eV per atom, Fermi-level density of states 0.86 states/eV/atom.